This record from the Alexandria database describes a geometry-optimized KZn2H4 structure. The functional is GGA-PBE.

Values from the calculation:
electronic total energy = -2.300 eV/atom

a = 6.4440 Å, b = 6.4440 Å, c = 5.4306 Å
α = 90.00°, β = 90.00°, γ = 90.00°
With the nearest neighbours (Å) after each atom.
Space group I4/m (No. 87)
Symmetry-distinct sites (fractional):
K (0.0000, 0.0000, 0.0000) (multiplicity 2)  4 H 2.73
Zn (0.0000, 0.5000, 0.2500) (multiplicity 4)  4 H 1.81
H (0.1043, 0.3467, 0.5000) (multiplicity 8)  2 Zn 1.81

This record from the Alexandria database describes a geometry-optimized LiZnRuRh structure. The functional is GGA-PBE.

Values from the calculation:
electronic total energy = -4.985 eV/atom
ΔE_f = -0.032 eV per atom

a = 6.0081 Å, b = 6.0081 Å, c = 6.0081 Å
α = 90.00°, β = 90.00°, γ = 90.00°
With the nearest neighbours (Å) after each atom.
Space group F-43m (No. 216)
Symmetry-distinct sites (fractional):
Li (0.0000, 0.0000, 0.0000) (multiplicity 4)  4 Ru 2.60, 4 Zn 2.60
Zn (0.2500, 0.2500, 0.2500) (multiplicity 4)  4 Li 2.60, 4 Rh 2.60
Ru (0.2500, 0.2500, 0.7500) (multiplicity 4)  4 Li 2.60, 4 Rh 2.60
Rh (0.0000, 0.0000, 0.5000) (multiplicity 4)  4 Zn 2.60, 4 Ru 2.60

This record from the Alexandria database describes a geometry-optimized KRhSe2 structure. The functional is GGA-PBE.

Values from the calculation:
electronic total energy = -4.463 eV/atom
ΔE_f (raw) = -0.61 eV/atom

a = 5.6317 Å, b = 7.6350 Å, c = 9.6379 Å
α = 90.00°, β = 90.00°, γ = 90.00°
With the nearest neighbours (Å) after each atom.
Space group Imma (No. 74)
Symmetry-distinct sites (fractional):
K (0.0000, 0.2500, 0.0745) (multiplicity 4)  6 Se 3.39-3.57, 2 Rh 3.43
Rh (0.2500, 0.2500, 0.7500) (multiplicity 4)  4 Se 2.45
Se (0.0000, 0.0223, 0.6470) (multiplicity 8)  2 Rh 2.45

This record from the Alexandria database describes a geometry-optimized Pr8Sm3Dy structure. The functional is GGA-PBE.

Values from the calculation:
electronic total energy = -4.439 eV/atom
ΔE_f = 0.311 eV per atom

a = 6.7388 Å, b = 11.4055 Å, c = 11.7742 Å
α = 90.00°, β = 90.00°, γ = 90.00°
With the nearest neighbours (Å) after each atom.
Space group Immm (No. 71)
Symmetry-distinct sites (fractional):
Pr (0.0000, 0.1632, 0.2493) (multiplicity 8)  1 Dy 3.48, 4 Sm 3.49-3.85, 5 Pr 3.53-3.72
Pr (0.2400, 0.2603, 0.5000) (multiplicity 8)  6 Pr 3.23-3.54, 1 Dy 3.25, 1 Sm 3.38
Sm (0.0000, 0.0000, 0.5000) (multiplicity 2)  8 Pr 3.38-3.49
Sm (0.0000, 0.5000, 0.2585) (multiplicity 4)  10 Pr 3.84-4.26
Dy (0.0000, 0.0000, 0.0000) (multiplicity 2)  8 Pr 3.25-3.48

This record from the Alexandria database describes a geometry-optimized BeSi2Hg structure. The functional is GGA-PBE.

Values from the calculation:
electronic total energy = -3.064 eV/atom
ΔE_f (raw) = 0.65 eV/atom

a = 3.5489 Å, b = 5.0596 Å, c = 7.5057 Å
α = 90.00°, β = 90.00°, γ = 90.00°
With the nearest neighbours (Å) after each atom.
Space group Imm2 (No. 44)
Symmetry-distinct sites (fractional):
Be (0.0000, 0.0000, 0.0000) (multiplicity 2)  2 Si 2.36
Si (0.0000, 0.0000, 0.5700) (multiplicity 2)  2 Si 2.44
Si (0.0000, 0.5000, 0.2934) (multiplicity 2)  2 Be 2.36, 2 Si 2.44
Hg (0.0000, 0.5000, 0.7664) (multiplicity 2)  2 Be 2.67, 4 Si 2.89-2.93

This record from the Alexandria database describes a geometry-optimized PmDyYHo3 structure. The functional is GGA-PBE.

Values from the calculation:
electronic total energy = -4.904 eV/atom
ΔE_f = 0.021 eV per atom

a = 5.0284 Å, b = 15.0907 Å, c = 10.0632 Å
α = 90.00°, β = 90.00°, γ = 90.00°
With the nearest neighbours (Å) after each atom.
Space group Cmcm (No. 63)
Symmetry-distinct sites (fractional):
Pm (0.0000, 0.0008, 0.2500) (multiplicity 4)  6 Ho 3.55-3.57, 4 Dy 3.56, 2 Y 3.57
Dy (0.0000, 0.5000, 0.0000) (multiplicity 4)  4 Pm 3.56, 6 Ho 3.56, 2 Y 3.57
Y (0.0000, 0.3324, 0.2500) (multiplicity 4)  8 Ho 3.54-3.56, 2 Dy 3.57, 2 Pm 3.57
Ho (0.0000, 0.1670, 0.0003) (multiplicity 8)  3 Y 3.54-3.56, 5 Ho 3.55, 2 Pm 3.55-3.57, 2 Dy 3.56
Ho (0.0000, 0.3329, 0.7500) (multiplicity 4)  2 Y 3.54, 6 Ho 3.55, 2 Pm 3.55, 2 Dy 3.56

This record from the Alexandria database describes a geometry-optimized Ca2PmTmSe4 structure. The functional is GGA-PBE.

Values from the calculation:
electronic total energy = -5.261 eV/atom
ΔE_f (raw) = -1.87 eV/atom

a = 7.1533 Å, b = 4.1212 Å, c = 7.2603 Å
α = 90.00°, β = 109.09°, γ = 90.00°
With the nearest neighbours (Å) after each atom.
Space group P2/m (No. 10)
Symmetry-distinct sites (fractional):
Ca (0.0000, 0.0000, 0.0000) (multiplicity 1)  6 Se 2.98
Ca (0.5000, 0.5000, 0.0000) (multiplicity 1)  6 Se 2.91
Pm (0.0000, 0.5000, 0.5000) (multiplicity 1)  6 Se 2.96
Tm (0.5000, 0.0000, 0.5000) (multiplicity 1)  6 Se 2.89
Se (0.2584, 0.0000, 0.7504) (multiplicity 2)  1 Tm 2.89, 3 Ca 2.91-2.98, 2 Pm 2.96
Se (0.2596, 0.5000, 0.2556) (multiplicity 2)  2 Tm 2.89, 3 Ca 2.91-2.98, 1 Pm 2.96

This record from the Alexandria database describes a geometry-optimized Rb2ScNiI6 structure. The functional is GGA-PBE.

Values from the calculation:
electronic total energy = -3.300 eV/atom
ΔE_f (raw) = -0.96 eV/atom

a = 11.5095 Å, b = 11.5095 Å, c = 11.5095 Å
α = 90.00°, β = 90.00°, γ = 90.00°
With the nearest neighbours (Å) after each atom.
Space group Fm-3m (No. 225)
Symmetry-distinct sites (fractional):
Rb (0.2500, 0.2500, 0.2500) (multiplicity 8)  12 I 4.07
Sc (0.0000, 0.0000, 0.0000) (multiplicity 4)  6 I 2.91
Ni (0.0000, 0.0000, 0.5000) (multiplicity 4)  6 I 2.84
I (0.0000, 0.0000, 0.2533) (multiplicity 24)  1 Ni 2.84, 1 Sc 2.91

This record from the Alexandria database describes a geometry-optimized La6Pr5Ho structure. The functional is GGA-PBE.

Values from the calculation:
electronic total energy = -4.826 eV/atom
ΔE_f = 0.010 eV per atom

a = 12.2705 Å, b = 11.1394 Å, c = 6.4310 Å
α = 90.00°, β = 100.03°, γ = 90.00°
With the nearest neighbours (Å) after each atom.
Space group C2/m (No. 12)
Symmetry-distinct sites (fractional):
La (0.2486, 0.0000, 0.2533) (multiplicity 4)  1 Ho 3.68, 6 La 3.69-3.73, 5 Pr 3.69-3.73
La (0.2486, 0.1659, 0.7492) (multiplicity 8)  5 Pr 3.68-3.73, 6 La 3.69-3.73, 1 Ho 3.69
Pr (0.0000, 0.1652, 0.0000) (multiplicity 4)  4 Pr 3.68-3.73, 6 La 3.69-3.73, 2 Ho 3.70
Pr (0.0000, 0.3315, 0.5000) (multiplicity 4)  6 La 3.68-3.72, 1 Ho 3.69, 5 Pr 3.71-3.75
Pr (0.0000, 0.5000, 0.0000) (multiplicity 2)  6 La 3.71-3.73, 6 Pr 3.72-3.73
Ho (0.0000, 0.0000, 0.5000) (multiplicity 2)  6 La 3.68-3.69, 6 Pr 3.69-3.70

This record from the Alexandria database describes a geometry-optimized ThAl8Si2W structure. The functional is GGA-PBE.

Values from the calculation:
electronic total energy = -5.064 eV/atom
ΔE_f (raw) = 0.03 eV/atom

a = 8.0061 Å, b = 5.1868 Å, c = 10.8279 Å
α = 90.00°, β = 90.79°, γ = 90.00°
With the nearest neighbours (Å) after each atom.
Space group C2/m (No. 12)
Symmetry-distinct sites (fractional):
Th (0.0000, 0.0000, 0.0000) (multiplicity 2)  6 Si 3.01-3.14, 6 Al 3.11-3.33
Al (0.0495, 0.2458, 0.7032) (multiplicity 8)  1 Si 2.51, 3 Al 2.55-2.74, 1 W 2.57
Al (0.1678, 0.5000, 0.4700) (multiplicity 4)  3 W 2.67-2.94, 5 Al 2.77-2.98
Al (0.1704, 0.5000, 0.1479) (multiplicity 4)  2 Si 2.63-2.85, 2 Al 2.74
Si (0.1561, 0.5000, 0.8848) (multiplicity 4)  3 Al 2.51-2.63
W (0.0000, 0.0000, 0.5000) (multiplicity 2)  6 Al 2.57-2.67

This record from the Alexandria database describes a geometry-optimized SmCdAgF6 structure. The functional is GGA-PBE.

Values from the calculation:
electronic total energy = -4.919 eV/atom
ΔE_f (raw) = -2.73 eV/atom

a = 5.3847 Å, b = 5.3847 Å, c = 10.9971 Å
α = 90.00°, β = 90.00°, γ = 90.00°
With the nearest neighbours (Å) after each atom.
Space group P4_2nm (No. 102)
Symmetry-distinct sites (fractional):
Sm (0.0000, 0.0000, 0.0000) (multiplicity 2)  6 F 2.26-2.29
Cd (0.0000, 0.0000, 0.6656) (multiplicity 2)  6 F 2.25-2.31
Ag (0.0000, 0.0000, 0.3324) (multiplicity 2)  6 F 2.43-2.57
F (0.1807, 0.1807, 0.8338) (multiplicity 4)  1 Sm 2.29, 1 Cd 2.31, 1 Ag 2.43
F (0.2042, 0.2042, 0.5145) (multiplicity 4)  1 Sm 2.26, 1 Cd 2.28
F (0.2060, 0.2060, 0.1474) (multiplicity 4)  1 Cd 2.25, 1 Sm 2.26

This record from the Alexandria database describes a geometry-optimized PuBeRhN structure. The functional is GGA-PBE.

Values from the calculation:
electronic total energy = -9.264 eV/atom
ΔE_f (raw) = -0.83 eV/atom

a = 3.7178 Å, b = 3.7178 Å, c = 7.8947 Å
α = 90.00°, β = 90.00°, γ = 90.00°
With the nearest neighbours (Å) after each atom.
Space group P4/nmm (No. 129, origin choice 2)
Symmetry-distinct sites (fractional):
Pu (0.2500, 0.2500, 0.1614) (multiplicity 2)  1 N 2.24
Be (0.2500, 0.2500, 0.6722) (multiplicity 2)  1 N 1.62
Rh (0.2500, 0.7500, 0.5000) (multiplicity 2)  4 Be 2.30
N (0.2500, 0.2500, 0.8771) (multiplicity 2)  1 Be 1.62

Repeat the sixth record exactly.
This record from the Alexandria database describes a geometry-optimized PmDyYHo3 structure. The functional is GGA-PBE.

Values from the calculation:
electronic total energy = -4.904 eV/atom
ΔE_f = 0.021 eV per atom

a = 5.0284 Å, b = 15.0907 Å, c = 10.0632 Å
α = 90.00°, β = 90.00°, γ = 90.00°
With the nearest neighbours (Å) after each atom.
Space group Cmcm (No. 63)
Symmetry-distinct sites (fractional):
Pm (0.0000, 0.0008, 0.2500) (multiplicity 4)  6 Ho 3.55-3.57, 4 Dy 3.56, 2 Y 3.57
Dy (0.0000, 0.5000, 0.0000) (multiplicity 4)  4 Pm 3.56, 6 Ho 3.56, 2 Y 3.57
Y (0.0000, 0.3324, 0.2500) (multiplicity 4)  8 Ho 3.54-3.56, 2 Dy 3.57, 2 Pm 3.57
Ho (0.0000, 0.1670, 0.0003) (multiplicity 8)  3 Y 3.54-3.56, 5 Ho 3.55, 2 Pm 3.55-3.57, 2 Dy 3.56
Ho (0.0000, 0.3329, 0.7500) (multiplicity 4)  2 Y 3.54, 6 Ho 3.55, 2 Pm 3.55, 2 Dy 3.56

What is the electronic total energy in the tenth record? -5.064 eV/atom

Which formula does entry 4 have? Pr8Sm3Dy